# Tb3Cu3Ni8 GGA-PBE optimized geometry
# crystal system: orthorhombic
# ΔH_f (0 K): -0.259 eV/atom
# V: 207 Å³ per cell
# theoretical density: 9.1 g/cm3
data_Tb3Cu3Ni8
_space_group_name_H-M_alt 'P 1'
_space_group_IT_number 1
_space_group_name_Hall 'P 1'
_cell_length_a 4.011
_cell_length_b 7.666
_cell_length_c 7.666
_cell_angle_alpha 68.08
_cell_angle_beta 74.83
_cell_angle_gamma 74.83
loop_
_atom_site_label
_atom_site_fract_x
_atom_site_fract_y
_atom_site_fract_z
Ni1 0.183 0.168 0.465
Cu1 0.000 0.216 0.784
Ni2 0.817 0.832 0.535
Tb1 0.807 0.193 0.193
Tb2 0.193 0.807 0.807
Ni3 0.382 0.346 0.889
Ni4 0.183 0.465 0.168
Ni5 0.382 0.889 0.346
Ni6 0.618 0.111 0.654
Cu2 0.000 0.784 0.216
Tb3 0.500 0.500 0.500
Ni7 0.817 0.535 0.832
Ni8 0.618 0.654 0.111
Cu3 0.500 0.000 0.000